(1)
Density functional theory data (GGA-PBE) for a geometry-optimized PmDy2ScBi4 structure.

Properties
Symmetry ... P2/m (10)
Energy of formation from the pure elements ... -811 meV per atom
Total DFT energy (no corrections) ... -42.3 eV for the cell shown
Crystal system ... monoclinic

a b c (Å): 7.714 4.459 7.722
angles (deg): 90.00 109.48 90.00
Positions (direct):
Pm: 0.000 0.000 0.000
Dy: 0.000 0.500 0.500
Dy: 0.500 0.000 0.500
Sc: 0.500 0.500 0.000
Bi: 0.259 0.500 0.250
Bi: 0.262 0.000 0.757
Bi: 0.738 0.000 0.243
Bi: 0.741 0.500 0.750



(2)
Density functional theory data (GGA-PBE) for a geometry-optimized Na4I3Br structure.

Properties
Symmetry ... Pm-3m (221)
Formation energy from raw total energies ... -1.320 eV/atom
ΔE to the lowest computed polymorph ... 6 meV/atom
Total DFT energy (no corrections) ... -22.2 eV for the cell shown
Crystal system ... cubic

a b c (Å): 6.422 6.422 6.422
angles (deg): 90.00 90.00 90.00
Positions (direct):
Na: 0.000 0.000 0.000
Na: 0.000 0.500 0.500
Na: 0.500 0.000 0.500
Na: 0.500 0.500 0.000
I: 0.000 0.000 0.500
I: 0.000 0.500 0.000
I: 0.500 0.000 0.000
Br: 0.500 0.500 0.500